1.
# Mg2AlRh

A relaxed structure of Mg2AlRh (PBE, the Alexandria database).

Lattice parameters (Å, degrees): 3.8466 3.8466 19.4544 90.00 90.00 90.00
With the nearest neighbours (Å) after each atom.
Space group I-42d (No. 122)
One atom of each set of equivalent atoms:
Mg 0.2404 0.2500 0.1250 [8 per cell]  4 Mg 2.67-2.77, 2 Rh 2.77, 2 Al 2.80
Al 0.0000 0.0000 0.5000 [4 per cell]  4 Rh 2.72, 4 Mg 2.80
Rh 0.0000 0.0000 0.0000 [4 per cell]  4 Al 2.72, 4 Mg 2.77

- M_tot: 0.00 μB/f.u.
- DFT formation energy: 0.008 eV per atom
- Total energy: -14.25 eV per formula unit

2.
# Pr6Cd2O

A relaxed structure of Pr6Cd2O (PBE, the Alexandria database).

Lattice parameters (Å, degrees): 7.1988 7.2244 12.4228 90.00 125.19 90.00
With the nearest neighbours (Å) after each atom.
Space group P2_1/c (No. 14)
One atom of each set of equivalent atoms:
Pr 0.1973 0.0000 0.2553 [4 per cell]  1 O 2.52
Pr 0.2812 0.2454 0.5285 [4 per cell]  1 O 2.53
Pr 0.2828 0.7468 0.0285 [4 per cell]  1 O 2.53
Cd 0.2552 0.5008 0.2514 [4 per cell]  5 Pr 3.21-3.39
O 0.5000 0.0000 0.5000 [2 per cell]  6 Pr 2.52-2.53

- M_tot: 0.00 μB/f.u.
- Formation energy from raw total energies: -685 meV/atom
- Total energy: -41.63 eV per formula unit

3.
# Li2ZrMoSe

A relaxed structure of Li2ZrMoSe (PBE, the Alexandria database).

Lattice parameters (Å, degrees): 5.1349 5.1349 4.7168 90.00 90.00 90.00
With the nearest neighbours (Å) after each atom.
Space group P4/mmm (No. 123)
One atom of each set of equivalent atoms:
Li 0.0000 0.5000 0.0000 [2 per cell]  2 Zr 2.57
Zr 0.0000 0.0000 0.0000 [1 per cell]  2 Mo 2.36, 4 Li 2.57
Mo 0.0000 0.0000 0.5000 [1 per cell]  2 Zr 2.36
Se 0.5000 0.5000 0.5000 [1 per cell]  8 Li 3.49, 4 Mo 3.63

- M_tot: 0.00 μB/f.u.
- Formation energy from raw total energies: 1237 meV/atom
- Total energy: -20.51 eV per formula unit

4.
# LaCuB3

A relaxed structure of LaCuB3 (PBE, the Alexandria database).

Lattice parameters (Å, degrees): 4.0837 4.0837 4.0837 90.00 90.00 90.00
With the nearest neighbours (Å) after each atom.
Space group Pm-3m (No. 221)
One atom of each set of equivalent atoms:
La 0.0000 0.0000 0.0000 [1 per cell]  12 B 2.89
Cu 0.5000 0.5000 0.5000 [1 per cell]  6 B 2.04
B 0.0000 0.5000 0.5000 [3 per cell]  2 Cu 2.04

- M_tot: 0.00 μB/f.u.
- DFT formation energy: 0.802 eV per atom
- Total energy: -25.04 eV per formula unit
- Energy relative to the lowest polymorph listed for this composition: 0.000 eV per atom

5.
# PaCo2H8

A relaxed structure of PaCo2H8 (PBE, the Alexandria database).

Lattice parameters (Å, degrees): 4.1046 4.1046 4.7083 90.00 90.00 90.00
With the nearest neighbours (Å) after each atom.
Space group P4/mmm (No. 123)
One atom of each set of equivalent atoms:
Pa 0.0000 0.0000 0.0000 [1 per cell]  8 H 2.23
Co 0.0000 0.5000 0.5000 [2 per cell]  8 H 1.70
H 0.2851 0.2851 0.3168 [8 per cell]  2 Co 1.70, 3 H 1.73-1.76

- M_tot: 0.42 μB/f.u.
- Total energy: -50.23 eV per formula unit